1.
A plane-wave DFT calculation with PBE was carried out for CuIO4 after structural relaxation.

It has space group P2_1/c (No. 14), with a = 5.542 Å, b = 4.741 Å, c = 5.911 Å, α = 90.00°, β = 111.05° and γ = 90.00°. Symmetry generates all atoms from Cu at (0.000, 0.000, 0.000), I at (0.500, 0.000, 0.500), O at (0.174, 0.202, 0.386) and O at (0.338, 0.700, 0.665).

The calculation puts the energy relative to the elements, uncorrected at -21.18 kJ per mole of atoms. As for the spin magnetization: 0.00 μB per formula unit.


2.
A plane-wave DFT calculation with PBE was carried out for PmPrEr2P4 after structural relaxation.

It has space group P2/m (No. 10), with a = 7.043 Å, b = 4.072 Å, c = 7.050 Å, α = 90.00°, β = 109.48° and γ = 90.00°. Symmetry generates all atoms from Pm at (0.000, 0.000, 0.000), Pr at (0.000, 0.500, 0.500), Er at (0.500, 0.000, 0.500), Er at (0.500, 0.500, 0.000), P at (0.261, 0.500, 0.252) and P at (0.263, 0.000, 0.756).

The formation enthalpy at 0 K comes out at -1564 meV per atom. As for the spin magnetization: 0.00 μB per formula unit.


no.,mass density (Mg/m³),raw total energy (eV per cell)
1,5.83,-53.6
2,6.48,-52.8